Here is a geometry-optimized Th2Ni3Au structure from Alexandria. Energies are from PBE-GGA.

Cell lengths 7.530, 9.179, 13.904 Å; angles 90.00, 90.00, 90.00 degrees
Space group Fmmm (No. 69)
Inequivalent atoms, fractional coordinates:
Th (0.239, 0.000, 0.000) [8 per cell]
Th (0.250, 0.250, 0.250) [8 per cell]
Ni (0.000, 0.000, 0.149) [8 per cell]
Ni (0.000, 0.242, 0.087) [16 per cell]
Au (0.000, 0.000, 0.334) [8 per cell]

ρ   11.570 g cm⁻³
Energy of formation   -2.8 eV/f.u.
Raw total energy   -38.22 eV per formula unit